Entry 1:
DFT (PBE) results for a geometry-optimized Be2ReW structure.

Cell and atoms, written as CIF:
```
data_Be2ReW
_chemical_formula_sum 'Be4 Re2 W2'
_symmetry_space_group_name_H-M 'A m m 2'
_symmetry_Int_Tables_number 38
_symmetry_space_group_name_Hall 'A 2 -2'
_cell_length_a 3.229
_cell_length_b 3.164
_cell_length_c 8.813
_cell_angle_alpha 90.00
_cell_angle_beta 90.00
_cell_angle_gamma 90.00
loop_
_atom_site_label
_atom_site_fract_x
_atom_site_fract_y
_atom_site_fract_z
Be1 0.000 0.000 0.000
Be2 0.500 0.000 0.134
Re1 0.000 0.000 0.718
W1 0.500 0.000 0.413
```

For the volume, the calculation gives 11.257 A^3/atom. Its calculated total energy is -67.430 eV per cell.



Entry 2:
DFT (PBE) results for a geometry-optimized BeRe3W structure.

Cell and atoms, written as CIF:
```
data_BeRe3W
_chemical_formula_sum 'Be1 Re3 W1'
_symmetry_space_group_name_H-M 'P m -3 m'
_symmetry_Int_Tables_number 221
_symmetry_space_group_name_Hall '-P 4 2 3'
_cell_length_a 4.728
_cell_length_b 4.728
_cell_length_c 4.728
_cell_angle_alpha 90.00
_cell_angle_beta 90.00
_cell_angle_gamma 90.00
loop_
_atom_site_label
_atom_site_fract_x
_atom_site_fract_y
_atom_site_fract_z
Be1 0.000 0.000 0.000
Re1 0.000 0.500 0.500
W1 0.500 0.500 0.500
```

For the volume, the calculation gives 21.136 A^3/atom. Its calculated total energy is -41.014 eV per cell.



Entry 3:
DFT (PBE) results for a geometry-optimized BeReW structure.

Cell and atoms, written as CIF:
```
data_BeReW
_chemical_formula_sum 'Be4 Re4 W4'
_symmetry_space_group_name_H-M 'F m m 2'
_symmetry_Int_Tables_number 42
_symmetry_space_group_name_Hall 'F 2 -2'
_cell_length_a 3.207
_cell_length_b 4.354
_cell_length_c 11.568
_cell_angle_alpha 90.00
_cell_angle_beta 90.00
_cell_angle_gamma 90.00
loop_
_atom_site_label
_atom_site_fract_x
_atom_site_fract_y
_atom_site_fract_z
Be1 0.000 0.000 0.000
Re1 0.000 0.000 0.348
W1 0.000 0.000 0.659
```

For the volume, the calculation gives 13.462 A^3/atom. Its calculated total energy is -114.339 eV per cell.



Entry 4:
DFT (PBE) results for a geometry-optimized BeRe3W structure.

Cell and atoms, written as CIF:
```
data_BeRe3W
_chemical_formula_sum 'Be1 Re3 W1'
_symmetry_space_group_name_H-M 'P m -3 m'
_symmetry_Int_Tables_number 221
_symmetry_space_group_name_Hall '-P 4 2 3'
_cell_length_a 4.144
_cell_length_b 4.144
_cell_length_c 4.144
_cell_angle_alpha 90.00
_cell_angle_beta 90.00
_cell_angle_gamma 90.00
loop_
_atom_site_label
_atom_site_fract_x
_atom_site_fract_y
_atom_site_fract_z
Be1 0.000 0.000 0.000
Re1 0.000 0.000 0.500
W1 0.500 0.500 0.500
```

For the volume, the calculation gives 14.230 A^3/atom. Its calculated total energy is -51.057 eV per cell.



Entry 5:
DFT (PBE) results for a geometry-optimized Y2BeRe structure.

Cell and atoms, written as CIF:
```
data_Y2BeRe
_chemical_formula_sum 'Y6 Be3 Re3'
_symmetry_space_group_name_H-M 'R -3 m'
_symmetry_Int_Tables_number 166
_symmetry_space_group_name_Hall '-R 3 2"'
_cell_length_a 3.4423
_cell_length_b 3.4423
_cell_length_c 25.4592
_cell_angle_alpha 90.00
_cell_angle_beta 90.00
_cell_angle_gamma 120.00
loop_
_atom_site_label
_atom_site_fract_x
_atom_site_fract_y
_atom_site_fract_z
Y1 0.0000 0.0000 0.2489
Be1 0.0000 0.0000 0.0000
Re1 0.0000 0.0000 0.5000
```

For the volume, the calculation gives 21.772 A^3/atom. Its calculated total energy is -80.450 eV per cell.



Entry 6:
DFT (PBE) results for a geometry-optimized YBeRe structure.

Cell and atoms, written as CIF:
```
data_YBeRe
_chemical_formula_sum 'Y2 Be2 Re2'
_symmetry_space_group_name_H-M 'I 4 m m'
_symmetry_Int_Tables_number 107
_symmetry_space_group_name_Hall 'I 4 -2'
_cell_length_a 3.260
_cell_length_b 3.260
_cell_length_c 9.648
_cell_angle_alpha 90.00
_cell_angle_beta 90.00
_cell_angle_gamma 90.00
loop_
_atom_site_label
_atom_site_fract_x
_atom_site_fract_y
_atom_site_fract_z
Y1 0.000 0.000 0.000
Be1 0.000 0.000 0.278
Re1 0.000 0.000 0.706
```

For the volume, the calculation gives 17.092 A^3/atom. Its calculated total energy is -44.567 eV per cell.



Entry 7:
DFT (PBE) results for a geometry-optimized Y2BeRe structure.

Cell and atoms, written as CIF:
```
data_Y2BeRe
_chemical_formula_sum 'Y2 Be1 Re1'
_symmetry_space_group_name_H-M 'P 4 m m'
_symmetry_Int_Tables_number 99
_symmetry_space_group_name_Hall 'P 4 -2'
_cell_length_a 3.299
_cell_length_b 3.299
_cell_length_c 7.762
_cell_angle_alpha 90.00
_cell_angle_beta 90.00
_cell_angle_gamma 90.00
loop_
_atom_site_label
_atom_site_fract_x
_atom_site_fract_y
_atom_site_fract_z
Y1 0.000 0.000 0.000
Y2 0.500 0.500 0.407
Be1 0.000 0.000 0.649
Re1 0.500 0.500 0.748
```

For the volume, the calculation gives 21.115 A^3/atom. Its calculated total energy is -28.722 eV per cell.



Entry 8:
DFT (PBE) results for a geometry-optimized Y4BeRe structure.

Cell and atoms, written as CIF:
```
data_Y4BeRe
_chemical_formula_sum 'Y16 Be4 Re4'
_symmetry_space_group_name_H-M 'F -4 3 m'
_symmetry_Int_Tables_number 216
_symmetry_space_group_name_Hall 'F -4 2 3'
_cell_length_a 8.396
_cell_length_b 8.396
_cell_length_c 8.396
_cell_angle_alpha 90.00
_cell_angle_beta 90.00
_cell_angle_gamma 90.00
loop_
_atom_site_label
_atom_site_fract_x
_atom_site_fract_y
_atom_site_fract_z
Y1 0.124 0.124 0.376
Be1 0.000 0.000 0.000
Re1 0.250 0.250 0.750
```

For the volume, the calculation gives 24.663 A^3/atom. Its calculated total energy is -140.107 eV per cell.



Entry 9:
DFT (PBE) results for a geometry-optimized YBeRe structure.

Cell and atoms, written as CIF:
```
data_YBeRe
_chemical_formula_sum 'Y4 Be4 Re4'
_symmetry_space_group_name_H-M 'F -4 3 m'
_symmetry_Int_Tables_number 216
_symmetry_space_group_name_Hall 'F -4 2 3'
_cell_length_a 6.001
_cell_length_b 6.001
_cell_length_c 6.001
_cell_angle_alpha 90.00
_cell_angle_beta 90.00
_cell_angle_gamma 90.00
loop_
_atom_site_label
_atom_site_fract_x
_atom_site_fract_y
_atom_site_fract_z
Y1 0.000 0.000 0.000
Be1 0.250 0.250 0.250
Re1 0.000 0.000 0.500
```

For the volume, the calculation gives 18.007 A^3/atom. Its calculated total energy is -83.927 eV per cell.



Entry 10:
DFT (PBE) results for a geometry-optimized YBeRe structure.

Cell and atoms, written as CIF:
```
data_YBeRe
_chemical_formula_sum 'Y1 Be1 Re1'
_symmetry_space_group_name_H-M 'P -6 m 2'
_symmetry_Int_Tables_number 187
_symmetry_space_group_name_Hall 'P -6 2'
_cell_length_a 4.0196
_cell_length_b 4.0196
_cell_length_c 3.8397
_cell_angle_alpha 90.00
_cell_angle_beta 90.00
_cell_angle_gamma 120.00
loop_
_atom_site_label
_atom_site_fract_x
_atom_site_fract_y
_atom_site_fract_z
Y1 0.0000 0.0000 0.0000
Be1 0.6667 0.3333 0.5000
Re1 0.3333 0.6667 0.5000
```

For the volume, the calculation gives 17.909 A^3/atom. Its calculated total energy is -21.865 eV per cell.



Entry 11:
DFT (PBE) results for a geometry-optimized YBe4Re structure.

Cell and atoms, written as CIF:
```
data_YBe4Re
_chemical_formula_sum 'Y4 Be16 Re4'
_symmetry_space_group_name_H-M 'F -4 3 m'
_symmetry_Int_Tables_number 216
_symmetry_space_group_name_Hall 'F -4 2 3'
_cell_length_a 6.659
_cell_length_b 6.659
_cell_length_c 6.659
_cell_angle_alpha 90.00
_cell_angle_beta 90.00
_cell_angle_gamma 90.00
loop_
_atom_site_label
_atom_site_fract_x
_atom_site_fract_y
_atom_site_fract_z
Y1 0.000 0.000 0.000
Be1 0.122 0.122 0.622
Re1 0.250 0.250 0.250
```

For the volume, the calculation gives 12.304 A^3/atom. Its calculated total energy is -134.477 eV per cell.



Entry 12:
DFT (PBE) results for a geometry-optimized YBe2Re2 structure.

Cell and atoms, written as CIF:
```
data_YBe2Re2
_chemical_formula_sum 'Y2 Be4 Re4'
_symmetry_space_group_name_H-M 'I 4/m m m'
_symmetry_Int_Tables_number 139
_symmetry_space_group_name_Hall '-I 4 2'
_cell_length_a 4.275
_cell_length_b 4.275
_cell_length_c 8.549
_cell_angle_alpha 90.00
_cell_angle_beta 90.00
_cell_angle_gamma 90.00
loop_
_atom_site_label
_atom_site_fract_x
_atom_site_fract_y
_atom_site_fract_z
Y1 0.000 0.000 0.000
Be1 0.000 0.500 0.250
Re1 0.000 0.000 0.359
```

For the volume, the calculation gives 15.622 A^3/atom. Its calculated total energy is -76.552 eV per cell.



Entry 13:
DFT (PBE) results for a geometry-optimized YBe2Re structure.

Cell and atoms, written as CIF:
```
data_YBe2Re
_chemical_formula_sum 'Y3 Be6 Re3'
_symmetry_space_group_name_H-M 'R -3 m'
_symmetry_Int_Tables_number 166
_symmetry_space_group_name_Hall '-R 3 2"'
_cell_length_a 3.9321
_cell_length_b 3.9321
_cell_length_c 14.2648
_cell_angle_alpha 90.00
_cell_angle_beta 90.00
_cell_angle_gamma 120.00
loop_
_atom_site_label
_atom_site_fract_x
_atom_site_fract_y
_atom_site_fract_z
Y1 0.0000 0.0000 0.0000
Be1 0.0000 0.0000 0.1980
Re1 0.0000 0.0000 0.5000
```

For the volume, the calculation gives 15.917 A^3/atom. Its calculated total energy is -78.086 eV per cell.



Entry 14:
DFT (PBE) results for a geometry-optimized Y2BeRe structure.

Cell and atoms, written as CIF:
```
data_Y2BeRe
_chemical_formula_sum 'Y4 Be2 Re2'
_symmetry_space_group_name_H-M 'A m m 2'
_symmetry_Int_Tables_number 38
_symmetry_space_group_name_Hall 'A 2 -2'
_cell_length_a 3.971
_cell_length_b 4.082
_cell_length_c 10.668
_cell_angle_alpha 90.00
_cell_angle_beta 90.00
_cell_angle_gamma 90.00
loop_
_atom_site_label
_atom_site_fract_x
_atom_site_fract_y
_atom_site_fract_z
Y1 0.000 0.000 0.000
Y2 0.500 0.000 0.283
Be1 0.000 0.000 0.696
Re1 0.500 0.000 0.585
```

For the volume, the calculation gives 21.619 A^3/atom. Its calculated total energy is -57.813 eV per cell.



Entry 15:
DFT (PBE) results for a geometry-optimized Y2BeRe structure.

Cell and atoms, written as CIF:
```
data_Y2BeRe
_chemical_formula_sum 'Y8 Be4 Re4'
_symmetry_space_group_name_H-M 'F -4 3 m'
_symmetry_Int_Tables_number 216
_symmetry_space_group_name_Hall 'F -4 2 3'
_cell_length_a 6.751
_cell_length_b 6.751
_cell_length_c 6.751
_cell_angle_alpha 90.00
_cell_angle_beta 90.00
_cell_angle_gamma 90.00
loop_
_atom_site_label
_atom_site_fract_x
_atom_site_fract_y
_atom_site_fract_z
Y1 0.000 0.000 0.000
Y2 0.250 0.250 0.250
Be1 0.000 0.000 0.500
Re1 0.250 0.250 0.750
```

For the volume, the calculation gives 19.229 A^3/atom. Its calculated total energy is -108.208 eV per cell.



Entry 16:
DFT (PBE) results for a geometry-optimized YBe2Re structure.

Cell and atoms, written as CIF:
```
data_YBe2Re
_chemical_formula_sum 'Y4 Be8 Re4'
_symmetry_space_group_name_H-M 'F m -3 m'
_symmetry_Int_Tables_number 225
_symmetry_space_group_name_Hall '-F 4 2 3'
_cell_length_a 6.166
_cell_length_b 6.166
_cell_length_c 6.166
_cell_angle_alpha 90.00
_cell_angle_beta 90.00
_cell_angle_gamma 90.00
loop_
_atom_site_label
_atom_site_fract_x
_atom_site_fract_y
_atom_site_fract_z
Y1 0.000 0.000 0.000
Be1 0.250 0.250 0.250
Re1 0.000 0.000 0.500
```

For the volume, the calculation gives 14.652 A^3/atom. Its calculated total energy is -101.291 eV per cell.



Entry 17:
DFT (PBE) results for a geometry-optimized YBe2Re structure.

Cell and atoms, written as CIF:
```
data_YBe2Re
_chemical_formula_sum 'Y2 Be4 Re2'
_symmetry_space_group_name_H-M 'C 1 m 1'
_symmetry_Int_Tables_number 8
_symmetry_space_group_name_Hall 'C -2y'
_cell_length_a 9.141
_cell_length_b 2.717
_cell_length_c 5.050
_cell_angle_alpha 90.00
_cell_angle_beta 107.20
_cell_angle_gamma 90.00
loop_
_atom_site_label
_atom_site_fract_x
_atom_site_fract_y
_atom_site_fract_z
Y1 0.000 0.000 0.000
Be1 0.284 0.500 0.301
Be2 0.471 0.000 0.503
Re1 0.211 0.000 0.637
```

For the volume, the calculation gives 14.979 A^3/atom. Its calculated total energy is -50.056 eV per cell.



Entry 18:
DFT (PBE) results for a geometry-optimized YBe3Re structure.

Cell and atoms, written as CIF:
```
data_YBe3Re
_chemical_formula_sum 'Y1 Be3 Re1'
_symmetry_space_group_name_H-M 'P m -3 m'
_symmetry_Int_Tables_number 221
_symmetry_space_group_name_Hall '-P 4 2 3'
_cell_length_a 4.339
_cell_length_b 4.339
_cell_length_c 4.339
_cell_angle_alpha 90.00
_cell_angle_beta 90.00
_cell_angle_gamma 90.00
loop_
_atom_site_label
_atom_site_fract_x
_atom_site_fract_y
_atom_site_fract_z
Y1 0.000 0.000 0.000
Be1 0.000 0.000 0.500
Re1 0.500 0.500 0.500
```

For the volume, the calculation gives 16.338 A^3/atom. Its calculated total energy is -16.982 eV per cell.



Entry 19:
DFT (PBE) results for a geometry-optimized YBe2Re structure.

Cell and atoms, written as CIF:
```
data_YBe2Re
_chemical_formula_sum 'Y2 Be4 Re2'
_symmetry_space_group_name_H-M 'A m m 2'
_symmetry_Int_Tables_number 38
_symmetry_space_group_name_Hall 'A 2 -2'
_cell_length_a 3.418
_cell_length_b 3.363
_cell_length_c 10.411
_cell_angle_alpha 90.00
_cell_angle_beta 90.00
_cell_angle_gamma 90.00
loop_
_atom_site_label
_atom_site_fract_x
_atom_site_fract_y
_atom_site_fract_z
Y1 0.000 0.000 0.000
Be1 0.000 0.000 0.745
Be2 0.500 0.000 0.635
Re1 0.500 0.000 0.288
```

For the volume, the calculation gives 14.962 A^3/atom. Its calculated total energy is -52.349 eV per cell.



Entry 20:
DFT (PBE) results for a geometry-optimized YBe2Re structure.

Cell and atoms, written as CIF:
```
data_YBe2Re
_chemical_formula_sum 'Y4 Be8 Re4'
_symmetry_space_group_name_H-M 'F -4 3 m'
_symmetry_Int_Tables_number 216
_symmetry_space_group_name_Hall 'F -4 2 3'
_cell_length_a 6.286
_cell_length_b 6.286
_cell_length_c 6.286
_cell_angle_alpha 90.00
_cell_angle_beta 90.00
_cell_angle_gamma 90.00
loop_
_atom_site_label
_atom_site_fract_x
_atom_site_fract_y
_atom_site_fract_z
Y1 0.000 0.000 0.000
Be1 0.000 0.000 0.500
Be2 0.250 0.250 0.250
Re1 0.250 0.250 0.750
```

For the volume, the calculation gives 15.523 A^3/atom. Its calculated total energy is -94.484 eV per cell.